# 1
{
  "formula": "YMg2IrO",
  "functional": "GGA-PBEsol",
  "state": "relaxed",
  "formation_energy_uncorrected_ev_per_atom": -1.27,
  "spacegroup": "No. 123",
  "volume_a3_per_cell": 78,
  "cell": [[4.066, 0.000, 0.000], [0.000, 4.066, 0.000], [0.000, 0.000, 4.748]],
  "species": ["Y", "Mg", "Mg", "Ir", "O"],
  "frac_coords": [[0.000, 0.000, 0.000], [0.000, 0.500, 0.500], [0.500, 0.000, 0.500], [0.500, 0.500, 0.000], [0.000, 0.000, 0.500]]
}

---

# 2
{
  "formula": "CaZnPt2",
  "functional": "GGA-PBEsol",
  "state": "relaxed",
  "delta_e_f_ev_per_atom": -0.394,
  "spacegroup": "No. 216",
  "volume_a3_per_cell": 68,
  "cell": [[0.000, 3.239, 3.239], [3.239, 0.000, 3.239], [3.239, 3.239, 0.000]],
  "species": ["Ca", "Zn", "Pt", "Pt"],
  "frac_coords": [[0.000, 0.000, 0.000], [0.250, 0.250, 0.250], [0.500, 0.500, 0.500], [0.750, 0.750, 0.750]]
}

---

# 3
{
  "formula": "Ta2SbP",
  "functional": "GGA-PBEsol",
  "state": "relaxed",
  "formation_energy_uncorrected_ev_per_atom": -0.04,
  "spacegroup": "No. 44",
  "volume_a3_per_cell": 70,
  "cell": [[-1.669, 2.274, 4.637], [1.669, -2.274, 4.637], [1.669, 2.274, -4.637]],
  "species": ["Ta", "Ta", "Sb", "P"],
  "frac_coords": [[0.000, 0.000, 0.000], [0.719, 0.219, 0.500], [0.469, 0.469, 0.000], [0.195, 0.695, 0.500]]
}

---

# 4
{
  "formula": "Ta2NbRh",
  "functional": "GGA-PBEsol",
  "state": "relaxed",
  "delta_e_f_ev_per_atom": -0.275,
  "spacegroup": "No. 225",
  "volume_a3_per_cell": 65,
  "cell": [[0.000, 3.198, 3.198], [3.198, 0.000, 3.198], [3.198, 3.198, 0.000]],
  "species": ["Ta", "Ta", "Nb", "Rh"],
  "frac_coords": [[0.250, 0.250, 0.250], [0.750, 0.750, 0.750], [0.000, 0.000, 0.000], [0.500, 0.500, 0.500]]
}

---

# 5
{
  "formula": "GaI2",
  "functional": "GGA-PBEsol",
  "state": "relaxed",
  "formation_energy_uncorrected_ev_per_atom": -0.41,
  "spacegroup": "No. 161",
  "volume_a3_per_cell": 1350,
  "cell": [[12.516, 7.226, 2.488], [-12.516, 7.226, 2.488], [0.000, -14.452, 2.488]],
  "species": ["Ga", "Ga", "Ga", "Ga", "Ga", "Ga", "Ga", "Ga", "Ga", "Ga", "Ga", "Ga", "I", "I", "I", "I", "I", "I", "I", "I", "I", "I", "I", "I", "I", "I", "I", "I", "I", "I", "I", "I", "I", "I", "I", "I"],
  "frac_coords": [[0.000, 0.810, 0.196], [0.013, 0.147, 0.840], [0.147, 0.840, 0.013], [0.196, 0.000, 0.810], [0.310, 0.500, 0.696], [0.340, 0.647, 0.513], [0.500, 0.696, 0.310], [0.513, 0.340, 0.647], [0.647, 0.513, 0.340], [0.696, 0.310, 0.500], [0.810, 0.196, 0.000], [0.840, 0.013, 0.147], [0.057, 0.473, 0.130], [0.130, 0.057, 0.473], [0.234, 0.498, 0.983], [0.279, 0.929, 0.333], [0.303, 0.391, 0.491], [0.333, 0.279, 0.929], [0.391, 0.491, 0.303], [0.429, 0.779, 0.833], [0.473, 0.130, 0.057], [0.483, 0.998, 0.734], [0.491, 0.303, 0.391], [0.498, 0.983, 0.234], [0.557, 0.630, 0.973], [0.630, 0.973, 0.557], [0.734, 0.483, 0.998], [0.779, 0.833, 0.429], [0.803, 0.991, 0.891], [0.833, 0.429, 0.779], [0.891, 0.803, 0.991], [0.929, 0.333, 0.279], [0.973, 0.557, 0.630], [0.983, 0.234, 0.498], [0.991, 0.891, 0.803], [0.998, 0.734, 0.483]]
}

---

# 6
{
  "formula": "SrSn3Sb4",
  "functional": "GGA-PBEsol",
  "state": "relaxed",
  "formation_energy_uncorrected_ev_per_atom": -0.28,
  "spacegroup": "No. 62",
  "volume_a3_per_cell": 989,
  "cell": [[9.954, 0.000, 0.000], [0.000, 4.382, 0.000], [0.000, 0.000, 22.667]],
  "species": ["Sr", "Sr", "Sr", "Sr", "Sn", "Sn", "Sn", "Sn", "Sn", "Sn", "Sn", "Sn", "Sn", "Sn", "Sn", "Sn", "Sb", "Sb", "Sb", "Sb", "Sb", "Sb", "Sb", "Sb", "Sb", "Sb", "Sb", "Sb", "Sb", "Sb", "Sb", "Sb"],
  "frac_coords": [[0.066, 0.250, 0.130], [0.434, 0.750, 0.630], [0.566, 0.250, 0.370], [0.934, 0.750, 0.870], [0.049, 0.750, 0.351], [0.144, 0.750, 0.509], [0.219, 0.750, 0.751], [0.281, 0.250, 0.251], [0.356, 0.250, 0.009], [0.451, 0.250, 0.851], [0.549, 0.750, 0.149], [0.644, 0.750, 0.991], [0.719, 0.750, 0.749], [0.781, 0.250, 0.249], [0.856, 0.250, 0.491], [0.951, 0.250, 0.649], [0.027, 0.250, 0.769], [0.072, 0.250, 0.970], [0.201, 0.250, 0.592], [0.219, 0.250, 0.379], [0.281, 0.750, 0.879], [0.299, 0.750, 0.092], [0.428, 0.750, 0.470], [0.473, 0.750, 0.269], [0.527, 0.250, 0.731], [0.572, 0.250, 0.530], [0.701, 0.250, 0.908], [0.719, 0.250, 0.121], [0.781, 0.750, 0.621], [0.799, 0.750, 0.408], [0.928, 0.750, 0.030], [0.973, 0.750, 0.231]]
}

---

# 7
{
  "formula": "NaCa10P7O28",
  "functional": "GGA-PBEsol",
  "state": "relaxed",
  "formation_energy_uncorrected_ev_per_atom": -2.90,
  "spacegroup": "No. 146",
  "volume_a3_per_cell": 1160,
  "cell": [[5.205, 3.005, 12.365], [-5.205, 3.005, 12.365], [0.000, -6.010, 12.365]],
  "species": ["Na", "Na", "Ca", "Ca", "Ca", "Ca", "Ca", "Ca", "Ca", "Ca", "Ca", "Ca", "Ca", "Ca", "Ca", "Ca", "Ca", "Ca", "Ca", "Ca", "Ca", "Ca", "P", "P", "P", "P", "P", "P", "P", "P", "P", "P", "P", "P", "P", "P", "O", "O", "O", "O", "O", "O", "O", "O", "O", "O", "O", "O", "O", "O", "O", "O", "O", "O", "O", "O", "O", "O", "O", "O", "O", "O", "O", "O", "O", "O", "O", "O", "O", "O", "O", "O", "O", "O", "O", "O", "O", "O", "O", "O", "O", "O", "O", "O", "O", "O", "O", "O", "O", "O", "O", "O"],
  "frac_coords": [[0.000, 0.000, 0.000], [0.500, 0.500, 0.500], [0.164, 0.755, 0.722], [0.222, 0.256, 0.664], [0.256, 0.664, 0.222], [0.260, 0.875, 0.287], [0.287, 0.260, 0.875], [0.315, 0.315, 0.315], [0.375, 0.760, 0.787], [0.380, 0.973, 0.388], [0.388, 0.380, 0.973], [0.473, 0.880, 0.888], [0.664, 0.222, 0.256], [0.722, 0.164, 0.755], [0.755, 0.722, 0.164], [0.760, 0.787, 0.375], [0.787, 0.375, 0.760], [0.815, 0.815, 0.815], [0.875, 0.287, 0.260], [0.880, 0.888, 0.473], [0.888, 0.473, 0.880], [0.973, 0.388, 0.380], [0.000, 0.543, 0.499], [0.044, 0.500, 0.999], [0.082, 0.082, 0.082], [0.082, 0.122, 0.642], [0.122, 0.642, 0.082], [0.142, 0.623, 0.582], [0.499, 0.000, 0.543], [0.500, 0.999, 0.044], [0.543, 0.499, 0.000], [0.582, 0.142, 0.623], [0.582, 0.582, 0.582], [0.623, 0.582, 0.142], [0.642, 0.082, 0.122], [0.999, 0.044, 0.500], [0.004, 0.434, 0.981], [0.071, 0.170, 0.724], [0.071, 0.208, 0.926], [0.124, 0.124, 0.124], [0.153, 0.948, 0.706], [0.154, 0.710, 0.418], [0.170, 0.724, 0.071], [0.171, 0.990, 0.435], [0.176, 0.460, 0.436], [0.181, 0.183, 0.465], [0.183, 0.465, 0.181], [0.207, 0.448, 0.652], [0.208, 0.926, 0.071], [0.209, 0.654, 0.918], [0.217, 0.457, 0.902], [0.224, 0.671, 0.570], [0.403, 0.957, 0.717], [0.418, 0.154, 0.710], [0.426, 0.708, 0.571], [0.434, 0.981, 0.004], [0.435, 0.171, 0.990], [0.436, 0.176, 0.460], [0.448, 0.652, 0.207], [0.457, 0.902, 0.217], [0.460, 0.436, 0.176], [0.465, 0.181, 0.183], [0.481, 0.934, 0.503], [0.489, 0.671, 0.936], [0.503, 0.481, 0.934], [0.570, 0.224, 0.671], [0.571, 0.426, 0.708], [0.624, 0.624, 0.624], [0.652, 0.207, 0.448], [0.654, 0.918, 0.209], [0.671, 0.570, 0.224], [0.671, 0.936, 0.489], [0.676, 0.937, 0.959], [0.680, 0.965, 0.683], [0.683, 0.680, 0.965], [0.706, 0.153, 0.948], [0.708, 0.571, 0.426], [0.710, 0.418, 0.154], [0.717, 0.403, 0.957], [0.724, 0.071, 0.170], [0.902, 0.217, 0.457], [0.918, 0.209, 0.654], [0.926, 0.071, 0.208], [0.934, 0.503, 0.481], [0.936, 0.489, 0.671], [0.937, 0.959, 0.676], [0.948, 0.706, 0.153], [0.957, 0.717, 0.403], [0.959, 0.676, 0.937], [0.965, 0.683, 0.680], [0.981, 0.004, 0.434], [0.990, 0.435, 0.171]]
}

---

# 8
{
  "formula": "ScSbP",
  "functional": "GGA-PBEsol",
  "state": "relaxed",
  "formation_energy_uncorrected_ev_per_atom": -0.35,
  "spacegroup": "No. 156",
  "volume_a3_per_cell": 63,
  "cell": [[3.547, 0.000, 0.000], [-1.773, 3.072, 0.000], [0.000, 0.000, 5.800]],
  "species": ["Sc", "Sb", "P"],
  "frac_coords": [[0.000, 0.000, 0.000], [0.667, 0.333, 0.394], [0.333, 0.667, 0.727]]
}

---

# 9
{
  "formula": "CrPAu2",
  "functional": "GGA-PBEsol",
  "state": "relaxed",
  "delta_e_f_ev_per_atom": 0.040,
  "spacegroup": "No. 99",
  "volume_a3_per_cell": 59,
  "cell": [[2.962, 0.000, 0.000], [0.000, 2.962, 0.000], [0.000, 0.000, 6.737]],
  "species": ["Cr", "P", "Au", "Au"],
  "frac_coords": [[0.000, 0.000, 0.000], [0.500, 0.500, 0.139], [0.000, 0.000, 0.427], [0.500, 0.500, 0.723]]
}

---

# 10
{
  "formula": "SiCl4",
  "functional": "GGA-PBEsol",
  "state": "relaxed",
  "formation_energy_uncorrected_ev_per_atom": -1.22,
  "spacegroup": "No. 14",
  "volume_a3_per_cell": 618,
  "cell": [[9.837, 0.000, 0.000], [0.000, 6.537, 0.000], [-2.495, 0.000, 9.612]],
  "species": ["Si", "Si", "Si", "Si", "Cl", "Cl", "Cl", "Cl", "Cl", "Cl", "Cl", "Cl", "Cl", "Cl", "Cl", "Cl", "Cl", "Cl", "Cl", "Cl"],
  "frac_coords": [[0.249, 0.072, 0.352], [0.249, 0.428, 0.852], [0.751, 0.572, 0.148], [0.751, 0.928, 0.648], [0.077, 0.070, 0.190], [0.077, 0.430, 0.690], [0.205, 0.574, 0.016], [0.205, 0.926, 0.516], [0.305, 0.135, 0.906], [0.305, 0.365, 0.406], [0.409, 0.572, 0.797], [0.409, 0.928, 0.297], [0.591, 0.072, 0.703], [0.591, 0.428, 0.203], [0.695, 0.635, 0.594], [0.695, 0.865, 0.094], [0.795, 0.074, 0.484], [0.795, 0.426, 0.984], [0.923, 0.570, 0.310], [0.923, 0.930, 0.810]]
}

---

# 11
{
  "formula": "AgHgW2",
  "functional": "GGA-PBEsol",
  "state": "relaxed",
  "delta_e_f_ev_per_atom": 0.704,
  "spacegroup": "No. 166",
  "volume_a3_per_cell": 67,
  "cell": [[1.409, 0.814, 9.700], [-1.409, 0.814, 9.700], [0.000, -1.627, 9.700]],
  "species": ["Ag", "Hg", "W", "W"],
  "frac_coords": [[0.000, 0.000, 0.000], [0.500, 0.500, 0.500], [0.252, 0.252, 0.252], [0.748, 0.748, 0.748]]
}

---

# 12
{
  "formula": "SrLi2Pb",
  "functional": "GGA-PBEsol",
  "state": "relaxed",
  "delta_e_f_ev_per_atom": -0.229,
  "spacegroup": "No. 10",
  "volume_a3_per_cell": 111,
  "cell": [[3.648, 0.000, 0.000], [0.000, 5.155, 0.000], [-0.484, 0.000, 5.911]],
  "species": ["Sr", "Li", "Li", "Pb"],
  "frac_coords": [[0.000, 0.000, 0.000], [0.315, 0.500, 0.695], [0.685, 0.500, 0.305], [0.500, 0.000, 0.500]]
}

---

# 13
{
  "formula": "VO2",
  "functional": "GGA-PBEsol",
  "state": "relaxed",
  "formation_energy_uncorrected_ev_per_atom": -2.39,
  "spacegroup": "No. 139",
  "volume_a3_per_cell": 131,
  "cell": [[-4.169, 4.169, 1.886], [4.169, -4.169, 1.886], [4.169, 4.169, -1.886]],
  "species": ["V", "V", "V", "V", "O", "O", "O", "O", "O", "O", "O", "O"],
  "frac_coords": [[0.000, 0.297, 0.297], [0.000, 0.703, 0.703], [0.297, 0.000, 0.297], [0.703, 0.000, 0.703], [0.154, 0.500, 0.654], [0.158, 0.158, 0.315], [0.158, 0.842, 0.000], [0.500, 0.154, 0.654], [0.500, 0.846, 0.346], [0.842, 0.158, 0.000], [0.842, 0.842, 0.685], [0.846, 0.500, 0.346]]
}

---

# 14
{
  "formula": "ReP3Ru",
  "functional": "GGA-PBEsol",
  "state": "relaxed",
  "delta_e_f_ev_per_atom": 1.357,
  "spacegroup": "No. 221",
  "volume_a3_per_cell": 87,
  "cell": [[4.438, 0.000, 0.000], [0.000, 4.438, 0.000], [0.000, 0.000, 4.438]],
  "species": ["Re", "P", "P", "P", "Ru"],
  "frac_coords": [[0.000, 0.000, 0.000], [0.000, 0.500, 0.500], [0.500, 0.000, 0.500], [0.500, 0.500, 0.000], [0.500, 0.500, 0.500]]
}

---

# 15
{
  "formula": "HfNiCl2",
  "functional": "GGA-PBEsol",
  "state": "relaxed",
  "formation_energy_uncorrected_ev_per_atom": -0.20,
  "spacegroup": "No. 225",
  "volume_a3_per_cell": 59,
  "cell": [[0.000, 3.089, 3.089], [3.089, 0.000, 3.089], [3.089, 3.089, 0.000]],
  "species": ["Hf", "Ni", "Cl", "Cl"],
  "frac_coords": [[0.000, 0.000, 0.000], [0.500, 0.500, 0.500], [0.250, 0.250, 0.250], [0.750, 0.750, 0.750]]
}

---

# 16
{
  "formula": "BaSb2Te",
  "functional": "GGA-PBEsol",
  "state": "relaxed",
  "formation_energy_uncorrected_ev_per_atom": -0.60,
  "spacegroup": "No. 8",
  "volume_a3_per_cell": 126,
  "cell": [[5.884, -2.122, 0.000], [5.884, 2.122, 0.000], [-2.814, 0.000, 5.035]],
  "species": ["Ba", "Sb", "Sb", "Te"],
  "frac_coords": [[0.000, 0.000, 0.000], [0.224, 0.224, 0.721], [0.524, 0.524, 0.524], [0.787, 0.787, 0.287]]
}

---

# 17
{
  "formula": "FeAg2I",
  "functional": "GGA-PBEsol",
  "state": "relaxed",
  "formation_energy_uncorrected_ev_per_atom": 0.86,
  "spacegroup": "No. 225",
  "volume_a3_per_cell": 78,
  "cell": [[0.000, 3.396, 3.396], [3.396, 0.000, 3.396], [3.396, 3.396, 0.000]],
  "species": ["Fe", "Ag", "Ag", "I"],
  "frac_coords": [[0.000, 0.000, 0.000], [0.250, 0.250, 0.250], [0.750, 0.750, 0.750], [0.500, 0.500, 0.500]]
}

---

# 18
{
  "formula": "Sr4LaCo5O15",
  "functional": "GGA-PBEsol",
  "state": "relaxed",
  "formation_energy_uncorrected_ev_per_atom": -1.88,
  "spacegroup": "No. 12",
  "volume_a3_per_cell": 269,
  "cell": [[8.001, -2.671, 0.000], [8.001, 2.671, 0.000], [-1.773, 0.000, 6.292]],
  "species": ["Sr", "Sr", "Sr", "Sr", "La", "Co", "Co", "Co", "Co", "Co", "O", "O", "O", "O", "O", "O", "O", "O", "O", "O", "O", "O", "O", "O", "O"],
  "frac_coords": [[0.100, 0.100, 0.400], [0.300, 0.300, 0.201], [0.700, 0.700, 0.799], [0.900, 0.900, 0.600], [0.500, 0.500, 0.000], [0.101, 0.101, 0.900], [0.299, 0.299, 0.698], [0.500, 0.500, 0.500], [0.701, 0.701, 0.302], [0.899, 0.899, 0.100], [0.000, 0.000, 0.000], [0.000, 0.500, 0.500], [0.108, 0.600, 0.901], [0.201, 0.201, 0.805], [0.204, 0.697, 0.295], [0.303, 0.796, 0.705], [0.400, 0.892, 0.099], [0.402, 0.402, 0.606], [0.500, 0.000, 0.500], [0.598, 0.598, 0.394], [0.600, 0.108, 0.901], [0.697, 0.204, 0.295], [0.796, 0.303, 0.705], [0.799, 0.799, 0.195], [0.892, 0.400, 0.099]]
}

---

# 19
{
  "formula": "TcSnTe2I",
  "functional": "GGA-PBEsol",
  "state": "relaxed",
  "formation_energy_uncorrected_ev_per_atom": 1.24,
  "spacegroup": "No. 123",
  "volume_a3_per_cell": 180,
  "cell": [[5.615, 0.000, 0.000], [0.000, 5.615, 0.000], [0.000, 0.000, 5.699]],
  "species": ["Tc", "Sn", "Te", "Te", "I"],
  "frac_coords": [[0.000, 0.000, 0.000], [0.500, 0.500, 0.500], [0.000, 0.500, 0.500], [0.500, 0.000, 0.500], [0.500, 0.500, 0.000]]
}